*i*
{"formula": "Zr3NiC", "functional": "PBE", "state": "relaxed", "lattice": [[-1.2808, -2.3907, -3.7072], [4.2870, -2.7646, -2.5440], [0.9403, -7.8083, 1.8649]], "species": ["Ni", "C", "Zr", "C", "Ni", "Zr", "Zr", "Zr", "Zr", "Zr"], "fractional_positions": [[0.5871, 0.2401, 0.5856], [0.1314, 0.6569, 0.0803], [0.9044, 0.9864, 0.2049], [0.8686, 0.3431, 0.9197], [0.4129, 0.7599, 0.4144], [0.3603, 0.3562, 0.9231], [0.0956, 0.0136, 0.7951], [0.8387, 0.6946, 0.6279], [0.6397, 0.6438, 0.0769], [0.1613, 0.3054, 0.3721]]}

=====

*ii*
{"formula": "Zr3NiC", "functional": "PBE", "state": "relaxed", "lattice": [[-2.3497, 3.7437, 0.7436], [0.5397, -0.5386, 4.4168], [3.7785, 2.4050, -0.1684]], "species": ["Ni", "Zr", "C", "Zr", "Zr"], "fractional_positions": [[0.5000, 0.5000, 0.5000], [0.0000, 0.0000, 0.5000], [0.0000, 0.0000, 0.0000], [0.0000, 0.5000, 0.0000], [0.5000, 0.0000, 0.0000]]}

=====

Relative energies with respect to the most stable structure, expressed in meV per atom: *i* 0; *ii* 171.